Compound: La2InSiSb
Source: Alexandria
Functional: PBE
Structure: relaxed

Calculated values
- ΔE_f (raw): 0.12 eV per atom
- Electronic total energy: -4.31 eV/atom
- Total moment: 0.0 μB/f.u.
- Density of states at the Fermi level: 0.775 states/eV/atom
- Density: 4.85 g/cm3

Unit cell a=6.0166 b=6.0166 c=5.1317 alpha=90.00 beta=90.00 gamma=90.00
Closest atoms and distances in Å follow each position.
Fractional coordinates of all 5 atoms:
1 La 0.0000 0.5000 0.0000  2 Sb 3.01
2 La 0.5000 0.0000 0.0000  2 Sb 3.01
3 In 0.0000 0.0000 0.5000  8 La 3.95, 4 Si 4.25
4 Si 0.5000 0.5000 0.5000  2 Sb 2.57
5 Sb 0.5000 0.5000 0.0000  2 Si 2.57

Compound: Rb2TlOsSe
Source: Alexandria
Functional: PBE
Structure: relaxed

Calculated values
- ΔE_f (raw): 0.45 eV per atom
- Electronic total energy: -3.36 eV/atom
- Energy above the lowest structure with this stoichiometry: 0 meV/atom
- Total moment: 0.0 μB/f.u.
- Density of states at the Fermi level: 0.799 states/eV/atom
- Density: 5.18 g/cm3

Unit cell a=6.7201 b=6.7201 c=4.5709 alpha=90.00 beta=90.00 gamma=90.00
Closest atoms and distances in Å follow each position.
Fractional coordinates of all 5 atoms:
1 Rb 0.0000 0.5000 0.0000  2 Os 3.36
2 Rb 0.5000 0.0000 0.0000  2 Os 3.36
3 Tl 0.0000 0.0000 0.5000  8 Rb 4.06
4 Os 0.5000 0.5000 0.0000  2 Se 2.29
5 Se 0.5000 0.5000 0.5000  2 Os 2.29

Copy entry 1 word for word.
Compound: La2InSiSb
Source: Alexandria
Functional: PBE
Structure: relaxed

Calculated values
- ΔE_f (raw): 0.12 eV per atom
- Electronic total energy: -4.31 eV/atom
- Total moment: 0.0 μB/f.u.
- Density of states at the Fermi level: 0.775 states/eV/atom
- Density: 4.85 g/cm3

Unit cell a=6.0166 b=6.0166 c=5.1317 alpha=90.00 beta=90.00 gamma=90.00
Closest atoms and distances in Å follow each position.
Fractional coordinates of all 5 atoms:
1 La 0.0000 0.5000 0.0000  2 Sb 3.01
2 La 0.5000 0.0000 0.0000  2 Sb 3.01
3 In 0.0000 0.0000 0.5000  8 La 3.95, 4 Si 4.25
4 Si 0.5000 0.5000 0.5000  2 Sb 2.57
5 Sb 0.5000 0.5000 0.0000  2 Si 2.57

Question: Number 1 is which compound?
Answer: La2InSiSb